DFT (PBE) results for a geometry-optimized KHgBr2 structure.

## Properties
Its crystal system is orthorhombic. Its density of states at the Fermi level is 0.0572 states/eV per atom. For the magnetic moment, the calculation gives 0.00 μB per formula unit. The value obtained for the raw formation energy is -0.932 eV per atom.

Unit cell a=4.4605 b=4.2929 c=14.1504 alpha=90.00 beta=90.00 gamma=90.00
Closest atoms and distances in Å follow each position.
Atoms (fractional coordinates):
K1 0.0000 0.0000 0.0000  6 Br 3.23-3.58
K2 0.0000 0.5000 0.5000  6 Br 3.23-3.58
Hg1 0.5000 0.0000 0.2282  5 Br 2.93-3.12
Hg2 0.5000 0.5000 0.7282  5 Br 2.93-3.12
Br1 0.0000 0.0000 0.7022  4 Hg 3.12
Br2 0.0000 0.5000 0.2022  4 Hg 3.12
Br3 0.5000 0.0000 0.4352  1 Hg 2.93, 4 K 3.23
Br4 0.5000 0.5000 0.9352  1 Hg 2.93, 4 K 3.23



DFT (PBE) results for a geometry-optimized PrDy2Te2 structure.

## Properties
Its crystal system is monoclinic. Its density of states at the Fermi level is 0.8412 states/eV per atom. For the magnetic moment, the calculation gives 0.00 μB per formula unit. The value obtained for the raw formation energy is -0.811 eV per atom.

Unit cell a=7.1454 b=6.0089 c=7.5129 alpha=90.00 beta=105.32 gamma=90.00
Closest atoms and distances in Å follow each position.
Atoms (fractional coordinates):
Pr1 0.0000 0.0000 0.0000  6 Te 3.19-3.47
Pr2 0.5000 0.5000 0.0000  6 Te 3.19-3.47
Dy1 0.0000 0.2477 0.5000  2 Dy 2.98-3.03, 4 Te 3.12
Dy2 0.0000 0.7523 0.5000  2 Dy 2.98-3.03, 4 Te 3.12
Dy3 0.5000 0.2523 0.5000  2 Dy 2.98-3.03, 4 Te 3.12
Dy4 0.5000 0.7477 0.5000  2 Dy 2.98-3.03, 4 Te 3.12
Te1 0.1695 0.5000 0.2142  4 Dy 3.12, 3 Pr 3.19-3.47, 1 Te 3.48
Te2 0.3305 0.0000 0.7858  4 Dy 3.12, 3 Pr 3.19-3.47, 1 Te 3.48
Te3 0.6695 0.0000 0.2142  4 Dy 3.12, 3 Pr 3.19-3.47, 1 Te 3.48
Te4 0.8305 0.5000 0.7858  4 Dy 3.12, 3 Pr 3.19-3.47, 1 Te 3.48



Number 1: E -2.118 eV/atom. Number 2: E -4.865 eV/atom.